(1)
DFT (PBE) results for CuHgIr2 after structural relaxation.

Distance to the lowest polymorph of the same formula = 64.5 meV/atom

Structure (CIF):
```
data_CuHgIr2
_chemical_formula_sum 'Cu1 Hg1 Ir2'
_cell_length_a 2.799
_cell_length_b 3.695
_cell_length_c 6.124
_cell_angle_alpha 90.00
_cell_angle_beta 90.00
_cell_angle_gamma 90.00
_symmetry_space_group_name_H-M 'P m m 2'
_symmetry_Int_Tables_number 25
loop_
_symmetry_equiv_pos_as_xyz
'x,y,z'
'-x,-y,z'
'-x,y,z'
'x,-y,z'
loop_
_atom_site_label
_atom_site_fract_x
_atom_site_fract_y
_atom_site_fract_z
_atom_site_occupancy
Cu1 0.000 0.000 0.000 1
Hg1 0.500 0.500 0.259 1
Ir1 0.000 0.000 0.565 1
Ir2 0.500 0.500 0.770 1
```


(2)
DFT (PBE) results for CuHg3Ir after structural relaxation.

Distance to the lowest polymorph of the same formula = 292.2 meV/atom

Structure (CIF):
```
data_CuHg3Ir
_chemical_formula_sum 'Cu1 Hg3 Ir1'
_cell_length_a 4.845
_cell_length_b 4.845
_cell_length_c 4.845
_cell_angle_alpha 90.00
_cell_angle_beta 90.00
_cell_angle_gamma 90.00
_symmetry_space_group_name_H-M 'P m -3 m'
_symmetry_Int_Tables_number 221
_symmetry_space_group_name_Hall '-P 4 2 3'
loop_
_atom_site_label
_atom_site_fract_x
_atom_site_fract_y
_atom_site_fract_z
_atom_site_occupancy
Cu1 0.000 0.000 0.000 1
Hg1 0.000 0.000 0.500 1
Ir1 0.500 0.500 0.500 1
```


| no. | formation enthalpy at 0 K (eV per atom) | Fermi-level density of states (states/eV per cell) |
| --- | --- | --- |
| 1 | 0.304 | 4.36 |
| 2 | 1.070 | 5.09 |